PmSmCuP | Alexandria | PBE-GGA | relaxed; space group = F-43m; energy of formation from the pure elements = -56.1 kJ per mole of atoms
1.0
4.9902 0.0000 0.0000
2.4951 4.3217 0.0000
2.4951 1.4406 4.0745
Pm Sm P Cu
1 1 1 1
Cartesian
7.4854 4.3217 3.0559 Pm
2.4951 1.4406 1.0186 Sm
0.0000 0.0000 0.0000 P
4.9902 2.8811 2.0373 Cu

---

KNaFe3 | Alexandria | PBE-GGA | relaxed; space group = Pm-3m; energy above the lowest structure with this stoichiometry = 472 meV/atom; energy of formation from the pure elements = 221.8 kJ per mole of atoms
1.0
5.0130 0.0000 0.0000
0.0000 5.0130 0.0000
0.0000 0.0000 5.0130
Na K Fe
1 1 3
Cartesian
2.5065 2.5065 2.5065 Na
0.0000 0.0000 0.0000 K
0.0000 0.0000 2.5065 Fe
0.0000 2.5065 0.0000 Fe
2.5065 0.0000 0.0000 Fe